(1)
# Zn2BTeS | Alexandria via LeMat-Bulk | PBE | relaxed
data_Zn2BTeS
_chemical_formula_sum 'Zn2 B1 Te1 S1'
_space_group_name_H-M_alt 'P 4/m m m'
_space_group_IT_number 123
_space_group_name_Hall '-P 4 2'
_cell_length_a 5.190
_cell_length_b 5.190
_cell_length_c 4.437
_cell_angle_alpha 90.00
_cell_angle_beta 90.00
_cell_angle_gamma 90.00
loop_
_atom_site_label
_atom_site_type_symbol
_atom_site_fract_x
_atom_site_fract_y
_atom_site_fract_z
Zn1 Zn 0.000 0.500 0.000
B1 B 0.000 0.000 0.500
Te1 Te 0.000 0.000 0.000
S1 S 0.500 0.500 0.500
# Total energy: -0.07863 hartree per atom

(2)
# Ac2Pr2Sm3 | Alexandria via LeMat-Bulk | PBE | relaxed
data_Ac2Pr2Sm3
_chemical_formula_sum 'Ac2 Pr2 Sm3'
_space_group_name_H-M_alt 'P 1 2/m 1'
_space_group_IT_number 10
_space_group_name_Hall '-P 2y'
_cell_length_a 5.902
_cell_length_b 3.626
_cell_length_c 12.645
_cell_angle_alpha 90.00
_cell_angle_beta 103.44
_cell_angle_gamma 90.00
loop_
_atom_site_label
_atom_site_type_symbol
_atom_site_fract_x
_atom_site_fract_y
_atom_site_fract_z
Ac1 Ac 0.077 0.000 0.155
Pr1 Pr 0.353 0.500 0.705
Sm1 Sm 0.219 0.000 0.438
Sm2 Sm 0.500 0.000 0.000
# ΔE to the lowest computed polymorph: 36 meV per atom

(3)
# Zr2CdCo | Alexandria via LeMat-Bulk | PBE | relaxed
data_Zr2CdCo
_chemical_formula_sum 'Zr8 Cd4 Co4'
_space_group_name_H-M_alt 'F -4 3 m'
_space_group_IT_number 216
_space_group_name_Hall 'F -4 2 3'
_cell_length_a 6.667
_cell_length_b 6.667
_cell_length_c 6.667
_cell_angle_alpha 90.00
_cell_angle_beta 90.00
_cell_angle_gamma 90.00
loop_
_atom_site_label
_atom_site_type_symbol
_atom_site_fract_x
_atom_site_fract_y
_atom_site_fract_z
Zr1 Zr 0.000 0.000 0.000
Zr2 Zr 0.250 0.250 0.250
Cd1 Cd 0.250 0.250 0.750
Co1 Co 0.000 0.000 0.500
# Total energy: -0.22383 hartree per atom

(4)
# HoCuRhAu | Alexandria via LeMat-Bulk | PBE | relaxed
data_HoCuRhAu
_chemical_formula_sum 'Ho4 Cu4 Rh4 Au4'
_space_group_name_H-M_alt 'F -4 3 m'
_space_group_IT_number 216
_space_group_name_Hall 'F -4 2 3'
_cell_length_a 6.572
_cell_length_b 6.572
_cell_length_c 6.572
_cell_angle_alpha 90.00
_cell_angle_beta 90.00
_cell_angle_gamma 90.00
loop_
_atom_site_label
_atom_site_type_symbol
_atom_site_fract_x
_atom_site_fract_y
_atom_site_fract_z
Ho1 Ho 0.000 0.000 0.000
Cu1 Cu 0.000 0.000 0.500
Rh1 Rh 0.250 0.250 0.750
Au1 Au 0.250 0.250 0.250
# ΔE to the lowest computed polymorph: 155 meV per atom

(5)
# Sr3SbIr | Alexandria via LeMat-Bulk | PBE | relaxed
data_Sr3SbIr
_chemical_formula_sum 'Sr3 Sb1 Ir1'
_space_group_name_H-M_alt 'P m -3 m'
_space_group_IT_number 221
_space_group_name_Hall '-P 4 2 3'
_cell_length_a 5.678
_cell_length_b 5.678
_cell_length_c 5.678
_cell_angle_alpha 90.00
_cell_angle_beta 90.00
_cell_angle_gamma 90.00
loop_
_atom_site_label
_atom_site_type_symbol
_atom_site_fract_x
_atom_site_fract_y
_atom_site_fract_z
Sr1 Sr 0.000 0.000 0.500
Sb1 Sb 0.500 0.500 0.500
Ir1 Ir 0.000 0.000 0.000
# ΔE to the lowest computed polymorph: 0 meV per atom

(6)
# ReMoIr2 | Alexandria via LeMat-Bulk | PBE | relaxed
data_ReMoIr2
_chemical_formula_sum 'Re1 Mo1 Ir2'
_space_group_name_H-M_alt 'P 4 m m'
_space_group_IT_number 99
_space_group_name_Hall 'P 4 -2'
_cell_length_a 3.301
_cell_length_b 3.301
_cell_length_c 5.602
_cell_angle_alpha 90.00
_cell_angle_beta 90.00
_cell_angle_gamma 90.00
loop_
_atom_site_label
_atom_site_type_symbol
_atom_site_fract_x
_atom_site_fract_y
_atom_site_fract_z
Re1 Re 0.000 0.000 0.000
Mo1 Mo 0.500 0.500 0.726
Ir1 Ir 0.000 0.000 0.485
Ir2 Ir 0.500 0.500 0.236
# ΔE to the lowest computed polymorph: 483 meV per atom

(7)
# MgTaTe2Cl | Alexandria via LeMat-Bulk | PBE | relaxed
data_MgTaTe2Cl
_chemical_formula_sum 'Mg1 Ta1 Te2 Cl1'
_space_group_name_H-M_alt 'P 4/m m m'
_space_group_IT_number 123
_space_group_name_Hall '-P 4 2'
_cell_length_a 5.217
_cell_length_b 5.217
_cell_length_c 5.514
_cell_angle_alpha 90.00
_cell_angle_beta 90.00
_cell_angle_gamma 90.00
loop_
_atom_site_label
_atom_site_type_symbol
_atom_site_fract_x
_atom_site_fract_y
_atom_site_fract_z
Mg1 Mg 0.000 0.000 0.000
Ta1 Ta 0.000 0.000 0.500
Te1 Te 0.000 0.500 0.000
Cl1 Cl 0.500 0.500 0.500
# Total energy: -0.12009 hartree per atom

(8)
# Zn2InSi | Alexandria via LeMat-Bulk | PBE | relaxed
data_Zn2InSi
_chemical_formula_sum 'Zn2 In1 Si1'
_space_group_name_H-M_alt 'P m m 2'
_space_group_IT_number 25
_space_group_name_Hall 'P 2 -2'
_cell_length_a 2.788
_cell_length_b 3.872
_cell_length_c 6.925
_cell_angle_alpha 90.00
_cell_angle_beta 90.00
_cell_angle_gamma 90.00
loop_
_atom_site_label
_atom_site_type_symbol
_atom_site_fract_x
_atom_site_fract_y
_atom_site_fract_z
Zn1 Zn 0.000 0.000 0.000
Zn2 Zn 0.500 0.500 0.212
In1 In 0.000 0.000 0.498
Si1 Si 0.500 0.500 0.816
# ΔE to the lowest computed polymorph: 52 meV per atom

(9)
# LiHoCd | Alexandria via LeMat-Bulk | PBE | relaxed
data_LiHoCd
_chemical_formula_sum 'Li2 Ho2 Cd2'
_space_group_name_H-M_alt 'I 4 m m'
_space_group_IT_number 107
_space_group_name_Hall 'I 4 -2'
_cell_length_a 3.739
_cell_length_b 3.739
_cell_length_c 9.958
_cell_angle_alpha 90.00
_cell_angle_beta 90.00
_cell_angle_gamma 90.00
loop_
_atom_site_label
_atom_site_type_symbol
_atom_site_fract_x
_atom_site_fract_y
_atom_site_fract_z
Li1 Li 0.000 0.000 0.000
Ho1 Ho 0.000 0.000 0.314
Cd1 Cd 0.000 0.000 0.635
# ΔE to the lowest computed polymorph: 29 meV per atom

(10)
# SrMgSnAu2 | Alexandria via LeMat-Bulk | PBE | relaxed
data_SrMgSnAu2
_chemical_formula_sum 'Sr1 Mg1 Sn1 Au2'
_space_group_name_H-M_alt 'P 4/m m m'
_space_group_IT_number 123
_space_group_name_Hall '-P 4 2'
_cell_length_a 5.127
_cell_length_b 5.127
_cell_length_c 5.312
_cell_angle_alpha 90.00
_cell_angle_beta 90.00
_cell_angle_gamma 90.00
loop_
_atom_site_label
_atom_site_type_symbol
_atom_site_fract_x
_atom_site_fract_y
_atom_site_fract_z
Sr1 Sr 0.000 0.000 0.000
Mg1 Mg 0.500 0.500 0.500
Sn1 Sn 0.500 0.500 0.000
Au1 Au 0.000 0.500 0.500
# ΔE to the lowest computed polymorph: 427 meV per atom

(11)
# ZnCrP2 | Alexandria via LeMat-Bulk | PBE | relaxed
data_ZnCrP2
_chemical_formula_sum 'Zn1 Cr1 P2'
_space_group_name_H-M_alt 'P 4/m m m'
_space_group_IT_number 123
_space_group_name_Hall '-P 4 2'
_cell_length_a 2.997
_cell_length_b 2.997
_cell_length_c 6.003
_cell_angle_alpha 90.00
_cell_angle_beta 90.00
_cell_angle_gamma 90.00
loop_
_atom_site_label
_atom_site_type_symbol
_atom_site_fract_x
_atom_site_fract_y
_atom_site_fract_z
Zn1 Zn 0.000 0.000 0.000
Cr1 Cr 0.000 0.000 0.500
P1 P 0.500 0.500 0.294
# Total energy: -0.20016 hartree per atom

(12)
# TaNb2BMo | Alexandria via LeMat-Bulk | PBE | relaxed
data_TaNb2BMo
_chemical_formula_sum 'Ta1 Nb2 B1 Mo1'
_space_group_name_H-M_alt 'P 4/m m m'
_space_group_IT_number 123
_space_group_name_Hall '-P 4 2'
_cell_length_a 4.439
_cell_length_b 4.439
_cell_length_c 4.215
_cell_angle_alpha 90.00
_cell_angle_beta 90.00
_cell_angle_gamma 90.00
loop_
_atom_site_label
_atom_site_type_symbol
_atom_site_fract_x
_atom_site_fract_y
_atom_site_fract_z
Ta1 Ta 0.000 0.000 0.000
Nb1 Nb 0.000 0.500 0.500
B1 B 0.000 0.000 0.500
Mo1 Mo 0.500 0.500 0.000
# Total energy: -0.35696 hartree per atom

| no. | N(E_F) (states/eV per cell) |
| --- | --- |
| 1 | 2.308 |
| 2 | 10.898 |
| 3 | 16.577 |
| 4 | 13.572 |
| 5 | 0.000 |
| 6 | 3.644 |
| 7 | 4.588 |
| 8 | 2.167 |
| 9 | 2.823 |
| 10 | 2.757 |
| 11 | 1.536 |
| 12 | 4.517 |